Run a
Entry from the Alexandria database: crystalline LiV2Si2O8 at its relaxed geometry (GGA-PBEsol).

The structure in POSCAR format:
```
LiV2Si2O8
1.0
6.159 0.000 0.000
0.000 2.669 4.005
0.000 -2.669 4.005
Li V Si O
1 2 2 8
Direct
0.000 0.000 0.000
0.257 0.329 0.329
0.743 0.329 0.329
0.000 0.673 0.673
0.500 0.976 0.976
0.000 0.046 0.553
0.000 0.553 0.046
0.211 0.553 0.553
0.283 0.093 0.093
0.500 0.110 0.602
0.500 0.602 0.110
0.717 0.093 0.093
0.789 0.553 0.553
```

symmetry = Amm2
calculated density = 3.7 Mg/m³

Run b
Entry from the Alexandria database: crystalline LiV2Si2O8 at its relaxed geometry (GGA-PBEsol).

The structure in POSCAR format:
```
LiV2Si2O8
1.0
4.758 0.000 0.000
0.000 10.004 0.000
-0.009 0.000 5.649
Li V Si O
2 4 4 16
Direct
0.250 0.000 0.249
0.750 0.500 0.751
0.247 0.733 0.992
0.253 0.266 0.508
0.747 0.766 0.492
0.753 0.233 0.008
0.196 0.406 0.007
0.304 0.593 0.493
0.696 0.093 0.507
0.804 0.906 0.993
0.030 0.325 0.786
0.033 0.107 0.496
0.041 0.317 0.220
0.087 0.559 0.998
0.413 0.440 0.502
0.460 0.682 0.280
0.467 0.892 0.004
0.470 0.674 0.714
0.530 0.174 0.286
0.533 0.392 0.996
0.540 0.182 0.720
0.587 0.940 0.498
0.913 0.059 0.002
0.959 0.817 0.780
0.967 0.607 0.504
0.970 0.825 0.214
```

symmetry = P2_1
calculated density = 3.6 Mg/m³

The winner here is run b, beating the second structure by 0.010 eV/atom.